A relaxed structure of Nd2ZnCoNi, computed with PBE.

Values from the calculation:
- energy (hartree per atom) = -0.182
- formation enthalpy at 0 K (kJ per mole of atoms) = -26
- total magnetic moment (μB/atom) = 0.001

a b c (Å): 4.2158 8.4711 5.5290
angles (deg): 90.00 90.00 90.00
Sites, in units of the cell vectors:
Nd (0.0000, 0.2001, 0.0000)
Nd (0.0000, 0.7999, 0.0000)
Nd (0.5000, 0.2999, 0.5000)
Nd (0.5000, 0.7001, 0.5000)
Zn (0.0000, 0.0000, 0.5056)
Zn (0.5000, 0.5000, 0.0056)
Co (0.0000, 0.5000, 0.2653)
Co (0.5000, 0.0000, 0.7653)
Ni (0.0000, 0.5000, 0.7378)
Ni (0.5000, 0.0000, 0.2378)